! LaHoRu2 PBE relaxed; values from VASP
! ΔH_f (0 K)   -0.205 eV per atom
! Space-group type   P4/mmm (123)
&SYSTEM
  ibrav = 0, nat = 4, ntyp = 3
/
ATOMIC_SPECIES
Ho 164.93 Ho.upf
La 138.91 La.upf
Ru 101.07 Ru.upf
ATOMIC_POSITIONS crystal
Ho 0.500 0.500 0.000
La 0.500 0.500 0.500
Ru 0.000 0.000 0.755
Ru 0.000 0.000 0.245
CELL_PARAMETERS angstrom
3.466 0.000 0.000
0.000 3.466 0.000
0.000 0.000 6.918